[1]
First-principles (PBE-GGA) data for a relaxed structure of Pm2PuNpSb4, as listed in Alexandria.

abc: 4.4498 7.7101 7.7136
angles: 109.41 90.00 90.00
Positions (direct):
Pm (0.5000, 0.0000, 0.5000)
Pm (0.0000, 0.5000, 0.5000)
Np (0.0000, 0.0000, 0.0000)
Sb (0.0000, 0.2510, 0.7571)
Sb (0.0000, 0.7490, 0.2429)
Sb (0.5000, 0.2466, 0.2430)
Sb (0.5000, 0.7534, 0.7570)
Pu (0.5000, 0.5000, 0.0000)

Computed properties:
Spin magnetization: 9.0 μB/cell
VASP energy: -7.446 eV per atom

***

[2]
First-principles (PBE-GGA) data for a relaxed structure of PmPu2NpSe4, as listed in Alexandria.

abc: 4.1206 7.2414 7.1393
angles: 70.76 90.00 90.00
Positions (direct):
Np (0.0000, 0.5000, 0.5000)
Se (0.5000, 0.7504, 0.2527)
Se (0.0000, 0.7536, 0.7467)
Se (0.0000, 0.2464, 0.2533)
Se (0.5000, 0.2496, 0.7473)
Pu (0.5000, 0.0000, 0.5000)
Pu (0.0000, 0.0000, 0.0000)
Pm (0.5000, 0.5000, 0.0000)

Computed properties:
Spin magnetization: 7.0 μB/cell
VASP energy: -9.012 eV per atom

***

[3]
First-principles (PBE-GGA) data for a relaxed structure of PmPuNp2Se4, as listed in Alexandria.

abc: 4.1331 7.1822 7.1513
angles: 109.39 90.00 90.00
Positions (direct):
Pu (0.5000, 0.5000, 0.0000)
Se (0.0000, 0.7482, 0.2548)
Se (0.5000, 0.2551, 0.2562)
Se (0.5000, 0.7449, 0.7438)
Se (0.0000, 0.2518, 0.7452)
Pm (0.0000, 0.0000, 0.0000)
Np (0.5000, 0.0000, 0.5000)
Np (0.0000, 0.5000, 0.5000)

Computed properties:
Spin magnetization: 14.7 μB/cell
VASP energy: -8.743 eV per atom

***

[4]
First-principles (PBE-GGA) data for a relaxed structure of Pm3Pu2NpSe6, as listed in Alexandria.

abc: 4.1570 8.3247 9.3045
angles: 102.55 102.91 90.00
Positions (direct):
Pm (0.5000, 0.5000, 0.0000)
Pm (0.1666, 0.8355, 0.3333)
Pm (0.8334, 0.1645, 0.6667)
Se (0.9994, 0.7546, 0.9988)
Se (0.0006, 0.2454, 0.0012)
Se (0.3343, 0.9127, 0.6686)
Se (0.3316, 0.4192, 0.6632)
Se (0.6657, 0.0873, 0.3314)
Se (0.6684, 0.5808, 0.3368)
Pu (0.8337, 0.6659, 0.6675)
Pu (0.1663, 0.3341, 0.3325)
Np (0.5000, 0.0000, 0.0000)

Computed properties:
Spin magnetization: 6.9 μB/cell
VASP energy: -8.011 eV per atom

***

[5]
First-principles (PBE-GGA) data for a relaxed structure of Pm2Pu3NpSe6, as listed in Alexandria.

abc: 4.1282 8.3449 9.3146
angles: 103.62 102.80 90.00
Positions (direct):
Se (0.6668, 0.0781, 0.3336)
Se (0.0022, 0.7518, 0.0043)
Se (0.9978, 0.2482, 0.9957)
Se (0.6664, 0.5849, 0.3328)
Se (0.3332, 0.9219, 0.6664)
Se (0.3336, 0.4151, 0.6672)
Pu (0.5000, 0.5000, 0.0000)
Pu (0.8324, 0.1675, 0.6648)
Pu (0.1676, 0.8325, 0.3352)
Pm (0.1642, 0.3281, 0.3284)
Pm (0.8358, 0.6719, 0.6716)
Np (0.5000, 0.0000, 0.0000)

Computed properties:
Spin magnetization: 12.6 μB/cell
VASP energy: -8.746 eV per atom

***

[6]
First-principles (PBE-GGA) data for a relaxed structure of Pm3Pu2NpTe6, as listed in Alexandria.

abc: 4.4306 8.8999 9.9242
angles: 102.63 102.90 90.00
Positions (direct):
Pu (0.8337, 0.6654, 0.6674)
Pu (0.1663, 0.3346, 0.3326)
Te (0.3321, 0.4176, 0.6641)
Te (0.9996, 0.7531, 0.9993)
Te (0.3342, 0.9130, 0.6683)
Te (0.6679, 0.5824, 0.3359)
Te (0.6658, 0.0870, 0.3317)
Te (0.0004, 0.2469, 0.0007)
Pm (0.1669, 0.8360, 0.3338)
Pm (0.5000, 0.5000, 0.0000)
Pm (0.8331, 0.1640, 0.6662)
Np (0.5000, 0.0000, 0.0000)

Computed properties:
Spin magnetization: 7.0 μB/cell
VASP energy: -7.396 eV per atom

***

[7]
First-principles (PBE-GGA) data for a relaxed structure of Pm2Pu3NpTe6, as listed in Alexandria.

abc: 4.4083 8.9235 9.9497
angles: 103.73 102.80 90.00
Positions (direct):
Te (0.0015, 0.7513, 0.0030)
Te (0.3334, 0.9208, 0.6667)
Te (0.3336, 0.4159, 0.6672)
Te (0.6664, 0.5841, 0.3328)
Te (0.6666, 0.0792, 0.3333)
Te (0.9985, 0.2487, 0.9970)
Pu (0.8323, 0.1679, 0.6647)
Pu (0.1677, 0.8321, 0.3353)
Pu (0.5000, 0.5000, 0.0000)
Pm (0.1653, 0.3298, 0.3306)
Pm (0.8347, 0.6702, 0.6694)
Np (0.5000, 0.0000, 0.0000)

Computed properties:
Spin magnetization: 12.9 μB/cell
VASP energy: -8.129 eV per atom

***

[8]
First-principles (PBE-GGA) data for a relaxed structure of Rb4PmNp3S8, as listed in Alexandria.

abc: 8.2920 9.0498 8.2927
angles: 117.30 120.00 90.00
Positions (direct):
Rb (0.5000, 0.0000, 0.0000)
Rb (0.0000, 0.0000, 0.5000)
Rb (0.0000, 0.0000, 0.0000)
Rb (0.5000, 0.0000, 0.5000)
Np (0.5000, 0.5000, 0.0000)
Np (0.5000, 0.5000, 0.5000)
Np (0.0000, 0.5000, 0.5000)
S (0.7266, 0.6934, 0.9602)
S (0.2335, 0.6934, 0.4670)
S (0.7665, 0.3066, 0.0398)
S (0.2734, 0.3066, 0.0398)
S (0.2708, 0.3127, 0.5416)
S (0.7292, 0.6873, 0.4584)
S (0.7665, 0.3066, 0.5330)
S (0.2335, 0.6934, 0.9602)
Pm (0.0000, 0.5000, 0.0000)

Computed properties:
Spin magnetization: 12.0 μB/cell
VASP energy: -6.506 eV per atom

***

[9]
First-principles (PBE-GGA) data for a relaxed structure of Rb3Pm3NpS8, as listed in Alexandria.

abc: 8.2909 8.2906 9.1693
angles: 116.89 90.00 120.00
Positions (direct):
Rb (0.0000, 0.0000, 0.0000)
Rb (0.5000, 0.5000, 0.0000)
Rb (0.0000, 0.5000, 0.0000)
S (0.7316, 0.4633, 0.6949)
S (0.2224, 0.9645, 0.6868)
S (0.2578, 0.0355, 0.3132)
S (0.7776, 0.5552, 0.3132)
S (0.7776, 0.0355, 0.3132)
S (0.2684, 0.5367, 0.3051)
S (0.2224, 0.4448, 0.6868)
S (0.7422, 0.9645, 0.6868)
Np (0.0000, 0.0000, 0.5000)
Pm (0.5000, 0.5000, 0.5000)
Pm (0.0000, 0.5000, 0.5000)
Pm (0.5000, 0.0000, 0.5000)

Computed properties:
Spin magnetization: 3.0 μB/cell
VASP energy: -5.937 eV per atom

***

[10]
First-principles (PBE-GGA) data for a relaxed structure of Rb2Pm2NpS6, as listed in Alexandria.

abc: 7.1198 7.1198 8.2186
angles: 98.50 98.50 119.71
Positions (direct):
Pm (0.6661, 0.3339, 0.5000)
Pm (0.3339, 0.6661, 0.5000)
S (0.3845, 0.0615, 0.6877)
S (0.7461, 0.7461, 0.6874)
S (0.9385, 0.6155, 0.3123)
S (0.2539, 0.2539, 0.3126)
S (0.0615, 0.3845, 0.6877)
S (0.6155, 0.9385, 0.3123)
Np (0.0000, 0.0000, 0.5000)
Rb (0.1696, 0.8304, 0.0000)
Rb (0.8304, 0.1696, 0.0000)

Computed properties:
Spin magnetization: 3.0 μB/cell
VASP energy: -6.156 eV per atom

***

[11]
First-principles (PBE-GGA) data for a relaxed structure of Rb4Pm3NpSe8, as listed in Alexandria.

abc: 8.6951 9.4538 8.6948
angles: 117.39 120.00 90.00
Positions (direct):
Se (0.2318, 0.6984, 0.9666)
Se (0.2665, 0.2994, 0.5330)
Se (0.7682, 0.3016, 0.5363)
Se (0.7682, 0.3016, 0.0334)
Se (0.2652, 0.3016, 0.0334)
Se (0.7335, 0.7006, 0.4670)
Se (0.7348, 0.6984, 0.9666)
Se (0.2318, 0.6984, 0.4637)
Rb (0.0000, 0.0000, 0.5000)
Rb (0.0000, 0.0000, 0.0000)
Rb (0.5000, 0.0000, 0.5000)
Rb (0.5000, 0.0000, 0.0000)
Np (0.0000, 0.5000, 0.0000)
Pm (0.0000, 0.5000, 0.5000)
Pm (0.5000, 0.5000, 0.0000)
Pm (0.5000, 0.5000, 0.5000)

Computed properties:
Spin magnetization: 4.0 μB/cell
VASP energy: -5.289 eV per atom

***

[12]
First-principles (PBE-GGA) data for a relaxed structure of Rb2PmNpSe4, as listed in Alexandria.

abc: 4.3410 7.5044 8.3860
angles: 107.46 90.00 90.00
Positions (direct):
Se (0.0000, 0.2712, 0.8035)
Se (0.5000, 0.2352, 0.1996)
Se (0.0000, 0.7288, 0.1965)
Se (0.5000, 0.7648, 0.8004)
Pm (0.0000, 0.0000, 0.0000)
Rb (0.0000, 0.5000, 0.5000)
Rb (0.5000, 0.0000, 0.5000)
Np (0.5000, 0.5000, 0.0000)

Computed properties:
Spin magnetization: 4.0 μB/cell
VASP energy: -5.674 eV per atom

***

[13]
First-principles (PBE-GGA) data for a relaxed structure of Rb4PmNp3Se8, as listed in Alexandria.

abc: 8.6388 9.4163 8.6383
angles: 117.31 120.00 90.00
Positions (direct):
Rb (0.0000, 0.0000, 0.0000)
Rb (0.5000, 0.0000, 0.0000)
Rb (0.5000, 0.0000, 0.5000)
Rb (0.0000, 0.0000, 0.5000)
Np (0.0000, 0.5000, 0.5000)
Np (0.5000, 0.5000, 0.0000)
Np (0.5000, 0.5000, 0.5000)
Pm (0.0000, 0.5000, 0.0000)
Se (0.7659, 0.3023, 0.5319)
Se (0.7660, 0.3023, 0.0363)
Se (0.7297, 0.6977, 0.9637)
Se (0.2341, 0.6977, 0.4681)
Se (0.2689, 0.3068, 0.5378)
Se (0.2340, 0.6977, 0.9637)
Se (0.2703, 0.3023, 0.0363)
Se (0.7311, 0.6932, 0.4622)

Computed properties:
Spin magnetization: 12.0 μB/cell
VASP energy: -6.066 eV per atom

***

[14]
First-principles (PBE-GGA) data for a relaxed structure of Rb2Pm2NpSe6, as listed in Alexandria.

abc: 7.3777 7.3777 8.5609
angles: 98.49 98.49 119.76
Positions (direct):
Se (0.0652, 0.3882, 0.6933)
Se (0.7454, 0.7454, 0.6927)
Se (0.6118, 0.9348, 0.3067)
Se (0.3882, 0.0652, 0.6933)
Se (0.9348, 0.6118, 0.3067)
Se (0.2546, 0.2546, 0.3073)
Pm (0.6664, 0.3336, 0.5000)
Pm (0.3336, 0.6664, 0.5000)
Np (0.0000, 0.0000, 0.5000)
Rb (0.8302, 0.1698, 0.0000)
Rb (0.1698, 0.8302, 0.0000)

Computed properties:
Spin magnetization: 3.0 μB/cell
VASP energy: -5.678 eV per atom

***

[15]
First-principles (PBE-GGA) data for a relaxed structure of Rb3PmNp2Se6, as listed in Alexandria.

abc: 7.4818 7.4818 8.3815
angles: 98.56 98.56 120.00
Positions (direct):
Rb (0.5000, 0.5000, 0.5000)
Rb (0.1654, 0.8346, 0.5000)
Rb (0.8346, 0.1654, 0.5000)
Se (0.0659, 0.4033, 0.1976)
Se (0.9341, 0.5967, 0.8024)
Se (0.5967, 0.9341, 0.8024)
Se (0.4033, 0.0659, 0.1976)
Se (0.2718, 0.2718, 0.8029)
Se (0.7282, 0.7282, 0.1971)
Pm (0.0000, 0.0000, 0.0000)
Np (0.3332, 0.6668, 0.0000)
Np (0.6668, 0.3332, 0.0000)

Computed properties:
Spin magnetization: 8.0 μB/cell
VASP energy: -5.933 eV per atom

***

[16]
First-principles (PBE-GGA) data for a relaxed structure of Rb3Pm3NpSe8, as listed in Alexandria.

abc: 8.5905 8.5917 9.5401
angles: 116.76 89.98 120.03
Positions (direct):
Se (0.7745, 0.0328, 0.3081)
Se (0.7745, 0.5492, 0.3080)
Se (0.2255, 0.9672, 0.6919)
Se (0.7419, 0.9671, 0.6919)
Se (0.2665, 0.5334, 0.3009)
Se (0.2255, 0.4508, 0.6920)
Se (0.2581, 0.0329, 0.3081)
Se (0.7335, 0.4666, 0.6991)
Rb (0.5000, 0.5000, 0.0000)
Rb (0.0000, 0.0000, 0.0000)
Rb (0.0000, 0.5000, 0.0000)
Np (0.0000, 0.0000, 0.5000)
Pm (0.5000, 0.0000, 0.5000)
Pm (0.5000, 0.5000, 0.5000)
Pm (0.0000, 0.5000, 0.5000)

Computed properties:
Spin magnetization: 3.0 μB/cell
VASP energy: -5.475 eV per atom

***

[17]
First-principles (PBE-GGA) data for a relaxed structure of Rb3PmNp3Se8, as listed in Alexandria.

abc: 8.5093 8.5088 9.4592
angles: 116.73 90.01 120.00
Positions (direct):
Np (0.0000, 0.5000, 0.5000)
Np (0.5000, 0.0000, 0.5000)
Np (0.5000, 0.5000, 0.5000)
Se (0.7239, 0.9588, 0.6935)
Se (0.7651, 0.0412, 0.3064)
Se (0.2761, 0.0412, 0.3065)
Se (0.7309, 0.4618, 0.6927)
Se (0.2691, 0.5382, 0.3073)
Se (0.7651, 0.5303, 0.3064)
Se (0.2349, 0.9588, 0.6936)
Se (0.2349, 0.4697, 0.6936)
Pm (0.0000, 0.0000, 0.5000)
Rb (0.0000, 0.5000, 0.0000)
Rb (0.0000, 0.0000, 0.0000)
Rb (0.5000, 0.5000, 0.0000)

Computed properties:
Spin magnetization: 11.0 μB/cell
VASP energy: -6.315 eV per atom

***

[18]
First-principles (PBE-GGA) data for a relaxed structure of Rb2PmNpTe4, as listed in Alexandria.

abc: 4.6151 8.0139 8.9391
angles: 107.37 90.00 90.00
Positions (direct):
Te (0.0000, 0.7353, 0.2033)
Te (0.5000, 0.2317, 0.2007)
Te (0.0000, 0.2647, 0.7967)
Te (0.5000, 0.7683, 0.7993)
Rb (0.0000, 0.5000, 0.5000)
Rb (0.5000, 0.0000, 0.5000)
Pm (0.5000, 0.5000, 0.0000)
Np (0.0000, 0.0000, 0.0000)

Computed properties:
Spin magnetization: 4.0 μB/cell
VASP energy: -5.162 eV per atom

***

[19]
First-principles (PBE-GGA) data for a relaxed structure of Rb3PmNp2Te6, as listed in Alexandria.

abc: 7.9815 7.9815 8.9512
angles: 98.55 98.55 120.00
Positions (direct):
Pm (0.0000, 0.0000, 0.0000)
Rb (0.8344, 0.1656, 0.5000)
Rb (0.5000, 0.5000, 0.5000)
Rb (0.1656, 0.8344, 0.5000)
Np (0.3332, 0.6668, 0.0000)
Np (0.6668, 0.3332, 0.0000)
Te (0.0674, 0.4034, 0.2019)
Te (0.7310, 0.7310, 0.2014)
Te (0.2690, 0.2690, 0.7986)
Te (0.5966, 0.9326, 0.7981)
Te (0.4034, 0.0674, 0.2019)
Te (0.9326, 0.5966, 0.7981)

Computed properties:
Spin magnetization: 8.0 μB/cell
VASP energy: -5.417 eV per atom

***

[20]
First-principles (PBE-GGA) data for a relaxed structure of Rb3Pm2NpTe6, as listed in Alexandria.

abc: 8.0192 8.0192 8.9433
angles: 98.60 98.60 119.99
Positions (direct):
Te (0.0674, 0.3997, 0.2024)
Te (0.3997, 0.0674, 0.2024)
Te (0.7354, 0.7354, 0.2026)
Te (0.2646, 0.2646, 0.7974)
Te (0.6003, 0.9326, 0.7976)
Te (0.9326, 0.6003, 0.7976)
Np (0.0000, 0.0000, 0.0000)
Pm (0.6666, 0.3334, 0.0000)
Pm (0.3334, 0.6666, 0.0000)
Rb (0.1674, 0.8326, 0.5000)
Rb (0.8326, 0.1674, 0.5000)
Rb (0.5000, 0.5000, 0.5000)

Computed properties:
Spin magnetization: 4.0 μB/cell
VASP energy: -4.908 eV per atom

***

[21]
First-principles (PBE-GGA) data for a relaxed structure of PmNpRe4, as listed in Alexandria.

abc: 5.4466 5.4466 5.4466
angles: 60.00 60.00 60.00
Positions (direct):
Re (0.1251, 0.6250, 0.6250)
Re (0.6250, 0.6250, 0.1251)
Re (0.6250, 0.6250, 0.6250)
Re (0.6250, 0.1251, 0.6250)
Np (0.0000, 0.0000, 0.0000)
Pm (0.2500, 0.2500, 0.2500)

Computed properties:
Spin magnetization: 4.8 μB/cell
VASP energy: -11.119 eV per atom